Record 1
Crystalline Ba2Hf3UO12 at its relaxed geometry, computed with PBE.

Total DFT energy (no corrections) ... -8.7252 eV per atom

abc: 7.758 7.758 7.758
angles: 57.52 57.52 57.52
Sites, in units of the cell vectors:
O 0.668 0.087 0.668
O 0.678 0.069 0.069
O 0.069 0.069 0.678
O 0.913 0.332 0.332
O 0.668 0.668 0.087
O 0.087 0.668 0.668
O 0.332 0.332 0.913
O 0.069 0.678 0.069
O 0.322 0.931 0.931
O 0.332 0.913 0.332
O 0.931 0.931 0.322
O 0.931 0.322 0.931
U 0.000 0.000 0.000
Ba 0.402 0.402 0.402
Ba 0.598 0.598 0.598
Hf 0.000 0.500 0.000
Hf 0.000 0.000 0.500
Hf 0.500 0.000 0.000

***

Record 2
Crystalline CoNi2Rh4 at its relaxed geometry, computed with PBE.

Excess energy over the best structure of this formula in the dataset ... 225 meV per atom

abc: 6.291 6.291 6.291
angles: 109.55 109.31 109.55
Sites, in units of the cell vectors:
Ni 0.252 0.627 0.125
Ni 0.375 0.873 0.748
Ni 0.498 0.373 0.625
Ni 0.875 0.127 0.502
Co 0.750 0.500 0.250
Co 0.000 0.000 0.000
Rh 0.790 0.253 0.879
Rh 0.629 0.753 0.040
Rh 0.626 0.747 0.537
Rh 0.287 0.247 0.876
Rh 0.124 0.411 0.371
Rh 0.960 0.589 0.713
Rh 0.121 0.911 0.374
Rh 0.463 0.089 0.210

***

Record 3
Crystalline Pm2Ti2Ni15 at its relaxed geometry, computed with PBE.

Total DFT energy (no corrections) ... -6.1884 eV per atom

abc: 6.369 6.369 6.369
angles: 82.30 82.30 82.30
Sites, in units of the cell vectors:
Ni 0.000 0.705 0.295
Ni 0.153 0.658 0.658
Ni 0.500 0.000 0.000
Ni 0.658 0.658 0.153
Ni 0.705 0.295 0.000
Ni 0.847 0.342 0.342
Ni 0.000 0.500 0.000
Ni 0.295 0.000 0.705
Ni 0.705 0.000 0.295
Ni 0.000 0.000 0.500
Ni 0.658 0.153 0.658
Ni 0.342 0.342 0.847
Ni 0.000 0.295 0.705
Ni 0.342 0.847 0.342
Ni 0.295 0.705 0.000
Pm 0.651 0.651 0.651
Pm 0.349 0.349 0.349
Ti 0.101 0.101 0.101
Ti 0.899 0.899 0.899

***

Record 4
Crystalline SrGa4Ru at its relaxed geometry, computed with PBE.

Total DFT energy (no corrections) ... -4.0399 eV per atom

abc: 4.768 4.768 7.159
angles: 90.00 90.00 90.00
Sites, in units of the cell vectors:
Sr 0.000 0.000 0.000
Ru 0.500 0.500 0.500
Ga 0.500 0.500 0.834
Ga 0.000 0.500 0.500
Ga 0.500 0.000 0.500
Ga 0.500 0.500 0.166

***

Record 5
Crystalline Ba3WBr at its relaxed geometry, computed with PBE.

Excess energy over the best structure of this formula in the dataset ... 0 meV per atom

abc: 6.034 6.034 6.034
angles: 90.00 90.00 90.00
Sites, in units of the cell vectors:
Ba 0.000 0.500 0.000
Ba 0.500 0.000 0.000
Ba 0.000 0.000 0.500
W 0.000 0.000 0.000
Br 0.500 0.500 0.500

***

Record 6
Crystalline Tb8NiHg2 at its relaxed geometry, computed with PBE.

Excess energy over the best structure of this formula in the dataset ... 124 meV per atom

abc: 5.144 8.565 8.502
angles: 120.25 107.61 90.00
Sites, in units of the cell vectors:
Ni 0.500 0.000 0.000
Tb 0.000 0.331 0.000
Tb 0.649 0.424 0.298
Tb 0.000 0.669 0.000
Tb 0.351 0.576 0.702
Tb 0.123 0.123 0.246
Tb 0.351 0.126 0.702
Tb 0.877 0.877 0.754
Tb 0.649 0.874 0.298
Hg 0.206 0.706 0.413
Hg 0.794 0.294 0.587

***

Record 7
Crystalline LaCo at its relaxed geometry, computed with PBE.

Total DFT energy (no corrections) ... -6.0724 eV per atom

abc: 17.471 4.030 4.094
angles: 90.00 90.00 90.00
Sites, in units of the cell vectors:
La 0.343 0.500 0.500
La 0.500 0.000 0.000
La 0.657 0.500 0.500
La 0.157 0.000 0.500
La 0.000 0.500 0.000
La 0.843 0.000 0.500
Co 0.000 0.000 0.500
Co 0.222 0.500 0.000
Co 0.278 0.000 0.000
Co 0.722 0.000 0.000
Co 0.778 0.500 0.000
Co 0.500 0.500 0.500

***

Record 8
Crystalline Ba3IrAu at its relaxed geometry, computed with PBE.

Excess energy over the best structure of this formula in the dataset ... 231 meV per atom

abc: 6.009 6.009 6.009
angles: 90.00 90.00 90.00
Sites, in units of the cell vectors:
Au 0.500 0.500 0.500
Ba 0.000 0.500 0.000
Ba 0.500 0.000 0.000
Ba 0.000 0.000 0.500
Ir 0.000 0.000 0.000

***

Record 9
Crystalline AlAgCl2 at its relaxed geometry, computed with PBE.

Excess energy over the best structure of this formula in the dataset ... 426 meV per atom

abc: 4.009 4.012 5.886
angles: 90.00 90.00 90.00
Sites, in units of the cell vectors:
Cl 0.500 0.500 0.289
Cl 0.000 0.000 0.905
Al 0.500 0.500 0.859
Ag 0.000 0.000 0.446

***

Record 10
Crystalline Cu2RuCl at its relaxed geometry, computed with PBE.

Excess energy over the best structure of this formula in the dataset ... 265 meV per atom

abc: 2.773 4.348 5.593
angles: 56.20 90.00 90.00
Sites, in units of the cell vectors:
Ru 0.500 0.500 0.500
Cu 0.500 0.500 0.000
Cu 0.000 0.000 0.000
Cl 0.000 0.000 0.500

***

Record 11
Crystalline Rb2ScCdCl6 at its relaxed geometry, computed with PBE.

Total DFT energy (no corrections) ... -3.7427 eV per atom

abc: 7.606 7.618 10.748
angles: 90.00 90.00 90.00
Sites, in units of the cell vectors:
Sc 0.500 0.248 0.500
Sc 0.000 0.752 0.000
Cl 0.000 0.753 0.234
Cl 0.733 0.015 0.500
Cl 0.766 0.519 0.000
Cl 0.734 0.481 0.500
Cl 0.767 0.985 0.000
Cl 0.500 0.247 0.266
Cl 0.234 0.519 0.000
Cl 0.500 0.247 0.734
Cl 0.266 0.481 0.500
Cl 0.233 0.985 0.000
Cl 0.267 0.015 0.500
Cl 0.000 0.753 0.766
Rb 0.000 0.248 0.749
Rb 0.500 0.752 0.751
Rb 0.500 0.752 0.249
Rb 0.000 0.248 0.251
Cd 0.500 0.252 0.000
Cd 0.000 0.748 0.500

***

Record 12
Crystalline Y2ZnCu3 at its relaxed geometry, computed with PBE.

Excess energy over the best structure of this formula in the dataset ... 0 meV per atom

abc: 4.334 5.628 5.406
angles: 77.46 66.37 67.35
Sites, in units of the cell vectors:
Y 0.454 0.795 0.297
Y 0.546 0.203 0.705
Cu 0.162 0.789 0.888
Cu 0.838 0.211 0.112
Cu 0.832 0.613 0.724
Zn 0.168 0.390 0.274

***

Record 13
Crystalline Y3Fe2 at its relaxed geometry, computed with PBE.

Total DFT energy (no corrections) ... -7.0396 eV per atom

abc: 4.738 4.738 5.992
angles: 90.00 90.00 120.00
Sites, in units of the cell vectors:
Y 0.000 0.000 0.000
Y 0.667 0.333 0.660
Y 0.333 0.667 0.340
Fe 0.333 0.667 0.877
Fe 0.667 0.333 0.123

***

Record 14
Crystalline SiAgMo2 at its relaxed geometry, computed with PBE.

Total DFT energy (no corrections) ... -7.1545 eV per atom

abc: 2.703 2.703 8.725
angles: 90.00 90.00 90.00
Sites, in units of the cell vectors:
Mo 0.000 0.000 0.007
Mo 0.500 0.500 0.265
Ag 0.500 0.500 0.743
Si 0.000 0.000 0.485

***

Record 15
Crystalline Mg4Cd5Hg at its relaxed geometry, computed with PBE.

Excess energy over the best structure of this formula in the dataset ... 0 meV per atom

abc: 4.995 6.237 7.666
angles: 103.98 109.01 90.00
Sites, in units of the cell vectors:
Mg 0.097 0.912 0.195
Mg 0.695 0.285 0.391
Mg 0.903 0.088 0.805
Mg 0.305 0.715 0.609
Cd 0.703 0.794 0.405
Cd 0.105 0.419 0.210
Cd 0.500 0.500 0.000
Cd 0.895 0.581 0.790
Cd 0.297 0.206 0.595
Hg 0.500 0.000 0.000

***

Record 16
Crystalline Y2I2O at its relaxed geometry, computed with PBE.

Total DFT energy (no corrections) ... -6.1373 eV per atom

abc: 3.994 7.030 11.575
angles: 95.31 99.93 90.00
Sites, in units of the cell vectors:
O 0.212 0.575 0.425
O 0.788 0.425 0.575
I 0.410 0.298 0.820
I 0.099 0.196 0.198
I 0.901 0.804 0.802
I 0.590 0.702 0.180
Y 0.311 0.581 0.622
Y 0.187 0.878 0.375
Y 0.813 0.122 0.625
Y 0.689 0.419 0.378

***

Record 17
Crystalline ErZrHg at its relaxed geometry, computed with PBE.

Excess energy over the best structure of this formula in the dataset ... 210 meV per atom

abc: 3.453 5.021 5.021
angles: 120.00 90.00 90.00
Sites, in units of the cell vectors:
Zr 0.165 0.000 0.000
Er 0.666 0.667 0.333
Hg 0.169 0.333 0.667

***

Record 18
Crystalline Pm4Nd3Sn2 at its relaxed geometry, computed with PBE.

Total DFT energy (no corrections) ... -4.9229 eV per atom

abc: 5.009 7.739 8.279
angles: 105.55 90.00 108.88
Sites, in units of the cell vectors:
Sn 0.788 0.576 0.709
Sn 0.212 0.424 0.291
Pm 0.863 0.727 0.354
Pm 0.137 0.273 0.646
Pm 0.664 0.328 0.975
Pm 0.336 0.672 0.025
Nd 0.576 0.151 0.344
Nd 0.424 0.849 0.656
Nd 0.000 0.000 0.000

***

Record 19
Crystalline Zn2InRu at its relaxed geometry, computed with PBE.

Total DFT energy (no corrections) ... -3.3779 eV per atom

abc: 2.868 2.868 9.374
angles: 90.00 90.00 113.60
Sites, in units of the cell vectors:
In 0.500 0.500 0.250
Zn 0.000 0.000 0.536
Zn 0.000 0.000 0.964
Ru 0.500 0.500 0.750

***

Record 20
Crystalline Er2HfCl at its relaxed geometry, computed with PBE.

Total DFT energy (no corrections) ... -5.8108 eV per atom

abc: 3.466 3.466 9.713
angles: 79.72 79.72 60.00
Sites, in units of the cell vectors:
Er 0.256 0.256 0.233
Er 0.744 0.744 0.767
Hf 0.500 0.500 0.500
Cl 0.000 0.000 0.000